# MnAlMoIrF, relaxed, DFT PBE with a Hubbard U
data_MnAlMoIrF
_chemical_formula_sum 'Mn1 Al1 Mo1 Ir1 F1'
_cell_length_a 2.959
_cell_length_b 4.835
_cell_length_c 6.602
_cell_angle_alpha 75.50
_cell_angle_beta 77.06
_cell_angle_gamma 89.94
_space_group_name_H-M_alt 'P 1'
_space_group_IT_number 1
_space_group_name_Hall 'P 1'
loop_
_atom_site_label
_atom_site_fract_x
_atom_site_fract_y
_atom_site_fract_z
Mn1 0.000 0.000 0.000
Al1 0.652 0.743 0.699
Mo1 0.823 0.368 0.355
Ir1 0.314 0.860 0.374
F1 0.578 0.369 0.851
# N(E_F): 2.52 states/eV per cell
# ΔE to the lowest computed polymorph: 47 kJ/mol of formula units